## PaCo2Ni (PBE)

Data for a relaxed structure of PaCo2Ni.

Total magnetic moment, μB per atom: 0.1178
Raw total energy, eV per atom: -7.705
E_form, eV per atom: -0.39

Cell lengths 3.860, 3.860, 3.686 Å; angles 90.00, 90.00, 90.00 degrees
Each line ends with the local moment (μB).
Atoms (fractional coordinates):
1 Pa 0.500 0.500 0.500  -0.16
2 Co 0.500 0.000 0.000  0.26
3 Ni 0.000 0.000 0.500  0.11
4 Co 0.000 0.500 0.000  0.29


## Pa2CoNi (PBE)

Data for a relaxed structure of Pa2CoNi.

Total magnetic moment, μB per atom: 0.0005
Raw total energy, eV per atom: -8.281
E_form, eV per atom: -0.36

Cell lengths 6.073, 3.561, 6.992 Å; angles 90.00, 106.54, 90.00 degrees
Atoms (fractional coordinates):
1 Pa 0.802 0.750 0.069
2 Co 0.655 0.250 0.787
3 Ni 0.356 0.750 0.711
4 Co 0.345 0.750 0.213
5 Pa 0.191 0.250 0.416
6 Pa 0.198 0.250 0.931
7 Ni 0.644 0.250 0.289
8 Pa 0.809 0.750 0.584


## PaCoNi (PBE)

Data for a relaxed structure of PaCoNi.

Total magnetic moment, μB per atom: 0.0015
Energy relative to the lowest polymorph listed for this composition, kJ per mole of atoms: 0.0
Raw total energy, eV per atom: -7.410
E_form, eV per atom: -0.02

Cell lengths 4.201, 4.201, 4.201 Å; angles 60.00, 60.00, 60.00 degrees
Atoms (fractional coordinates):
1 Pa 0.500 0.500 0.500
2 Ni 0.250 0.250 0.250
3 Co 0.000 0.000 0.000


## CoNiPtPb (PBE)

Data for a relaxed structure of CoNiPtPb.

Total magnetic moment, μB per atom: 0.0008
Energy relative to the lowest polymorph listed for this composition, kJ per mole of atoms: 0.0
Raw total energy, eV per atom: -5.405

Cell lengths 4.402, 4.402, 4.402 Å; angles 60.00, 60.00, 60.00 degrees
Atoms (fractional coordinates):
1 Pt 0.500 0.500 0.500
2 Pb 0.000 0.000 0.000
3 Co 0.750 0.750 0.750
4 Ni 0.250 0.250 0.250


## CoNiPbS3 (PBE)

Data for a relaxed structure of CoNiPbS3.

Total magnetic moment, μB per atom: 0.0798
Energy relative to the lowest polymorph listed for this composition, kJ per mole of atoms: 7.4
Raw total energy, eV per atom: -5.014

Cell lengths 6.864, 6.864, 8.843 Å; angles 90.00, 90.00, 30.41 degrees
Each line ends with the local moment (μB).
Atoms (fractional coordinates):
1 S 0.377 0.377 0.051  0.02
2 Co 0.528 0.528 0.750  0.47
3 Pb 0.756 0.756 0.250  0.01
4 Ni 0.000 0.000 0.500  -0.10
5 S 0.623 0.623 0.949  0.02
6 S 0.377 0.377 0.449  0.02
7 Ni 0.000 0.000 0.000  -0.11
8 S 0.939 0.939 0.750  0.01
9 S 0.623 0.623 0.551  0.02
10 Pb 0.244 0.244 0.750  0.01
11 Co 0.472 0.472 0.250  0.47
12 S 0.061 0.061 0.250  0.01


## CoNiPbS3 (PBE)

Data for a relaxed structure of CoNiPbS3.

Total magnetic moment, μB per atom: 0.0013
Energy relative to the lowest polymorph listed for this composition, kJ per mole of atoms: 0.0
Raw total energy, eV per atom: -5.091

Cell lengths 6.724, 6.724, 9.514 Å; angles 90.00, 90.00, 29.38 degrees
Atoms (fractional coordinates):
1 Co 0.000 0.000 0.000
2 Pb 0.721 0.721 0.250
3 Ni 0.389 0.389 0.250
4 S 0.386 0.386 0.484
5 S 0.614 0.614 0.516
6 S 0.004 0.004 0.250
7 Ni 0.611 0.611 0.750
8 S 0.386 0.386 0.016
9 S 0.996 0.996 0.750
10 Pb 0.279 0.279 0.750
11 Co 0.000 0.000 0.500
12 S 0.614 0.614 0.984


## ScCoNiPb (PBE)

Data for a relaxed structure of ScCoNiPb.

Total magnetic moment, μB per atom: 0.2000
Energy relative to the lowest polymorph listed for this composition, kJ per mole of atoms: 0.0
Raw total energy, eV per atom: -5.849

Cell lengths 4.478, 4.478, 4.478 Å; angles 60.00, 60.00, 60.00 degrees
Each line ends with the local moment (μB).
Atoms (fractional coordinates):
1 Pb 0.250 0.250 0.250  0.01
2 Sc 0.750 0.750 0.750  -0.06
3 Co 0.000 0.000 0.000  0.70
4 Ni 0.500 0.500 0.500  0.18


## ScCoNiPb (PBE)

Data for a relaxed structure of ScCoNiPb.

Total magnetic moment, μB per atom: 0.2841
Energy relative to the lowest polymorph listed for this composition, kJ per mole of atoms: 25.0
Raw total energy, eV per atom: -5.591

Cell lengths 4.519, 4.519, 4.519 Å; angles 60.00, 60.00, 60.00 degrees
Each line ends with the local moment (μB).
Atoms (fractional coordinates):
1 Ni 0.750 0.750 0.750  0.17
2 Sc 0.000 0.000 0.000  -0.02
3 Co 0.500 0.500 0.500  1.03
4 Pb 0.250 0.250 0.250  -0.01


## ScCoNiPb (PBE)

Data for a relaxed structure of ScCoNiPb.

Total magnetic moment, μB per atom: 0.3798
Energy relative to the lowest polymorph listed for this composition, kJ per mole of atoms: 26.7
Raw total energy, eV per atom: -5.572

Cell lengths 4.522, 4.522, 4.522 Å; angles 60.00, 60.00, 60.00 degrees
Each line ends with the local moment (μB).
Atoms (fractional coordinates):
1 Ni 0.750 0.750 0.750  0.04
2 Sc 0.250 0.250 0.250  -0.09
3 Pb 0.000 0.000 0.000  0.03
4 Co 0.500 0.500 0.500  1.52


## CoTcNiPb (PBE)

Data for a relaxed structure of CoTcNiPb.

Total magnetic moment, μB per atom: 0.6809
Energy relative to the lowest polymorph listed for this composition, kJ per mole of atoms: 0.0
Raw total energy, eV per atom: -6.192

Cell lengths 4.381, 4.381, 4.381 Å; angles 60.00, 60.00, 60.00 degrees
Each line ends with the local moment (μB).
Atoms (fractional coordinates):
1 Ni 0.250 0.250 0.250  0.08
2 Pb 0.000 0.000 0.000  -0.03
3 Co 0.750 0.750 0.750  1.11
4 Tc 0.500 0.500 0.500  1.47


## CoNiPbW (PBE)

Data for a relaxed structure of CoNiPbW.

Total magnetic moment, μB per atom: 0.0328
Energy relative to the lowest polymorph listed for this composition, kJ per mole of atoms: 0.0
Raw total energy, eV per atom: -6.759

Cell lengths 4.378, 4.378, 4.378 Å; angles 60.00, 60.00, 60.00 degrees
Atoms (fractional coordinates):
1 Co 0.750 0.750 0.750
2 Pb 0.000 0.000 0.000
3 Ni 0.250 0.250 0.250
4 W 0.500 0.500 0.500


## CoNiPbW (PBE)

Data for a relaxed structure of CoNiPbW.

Total magnetic moment, μB per atom: 0.2489
Energy relative to the lowest polymorph listed for this composition, kJ per mole of atoms: 19.9
Raw total energy, eV per atom: -6.553

Cell lengths 4.423, 4.423, 4.423 Å; angles 60.00, 60.00, 60.00 degrees
Atoms (fractional coordinates):
1 Ni 0.500 0.500 0.500
2 W 0.250 0.250 0.250
3 Co 0.750 0.750 0.750
4 Pb 0.000 0.000 0.000


## CoNi2Pd (PBE)

Data for a relaxed structure of CoNi2Pd.

Total magnetic moment, μB per atom: 0.8434
Raw total energy, eV per atom: -5.707
E_form, eV per atom: 0.15

Cell lengths 4.104, 4.104, 4.104 Å; angles 60.00, 60.00, 60.00 degrees
Atoms (fractional coordinates):
1 Pd 0.500 0.500 0.500
2 Ni 0.000 0.000 0.000
3 Ni 0.750 0.750 0.750
4 Co 0.250 0.250 0.250


## CoNi2Pd2 (PBE)

Data for a relaxed structure of CoNi2Pd2.

Total magnetic moment, μB per atom: 0.8094
Energy relative to the lowest polymorph listed for this composition, kJ per mole of atoms: 18.8
Raw total energy, eV per atom: -5.136
E_form, eV per atom: 0.58

Cell lengths 6.145, 6.145, 6.145 Å; angles 145.83, 145.83, 49.10 degrees
Atoms (fractional coordinates):
1 Ni 0.404 0.404 0.000
2 Pd 0.750 0.250 0.500
3 Pd 0.250 0.750 0.500
4 Co 0.000 0.000 0.000
5 Ni 0.596 0.596 0.000


## Co2NiPd (PBE)

Data for a relaxed structure of Co2NiPd.

Total magnetic moment, μB per atom: 1.1432
Raw total energy, eV per atom: -6.091
E_form, eV per atom: 0.15

Cell lengths 4.090, 4.090, 4.090 Å; angles 60.00, 60.00, 60.00 degrees
Each line ends with the local moment (μB).
Atoms (fractional coordinates):
1 Co 0.750 0.750 0.750  1.91
2 Pd 0.500 0.500 0.500  0.21
3 Ni 0.250 0.250 0.250  0.65
4 Co 0.000 0.000 0.000  1.88


## CoNi2Pd2 (PBE)

Data for a relaxed structure of CoNi2Pd2.

Total magnetic moment, μB per atom: 0.7890
Energy relative to the lowest polymorph listed for this composition, kJ per mole of atoms: 0.0
Raw total energy, eV per atom: -5.331
E_form, eV per atom: 0.39

Cell lengths 6.847, 6.847, 6.847 Å; angles 152.32, 152.32, 39.55 degrees
Atoms (fractional coordinates):
1 Pd 0.399 0.399 0.000
2 Co 0.000 0.000 0.000
3 Ni 0.250 0.750 0.500
4 Ni 0.750 0.250 0.500
5 Pd 0.601 0.601 0.000


## CoNiSbPd (PBE)

Data for a relaxed structure of CoNiSbPd.

Total magnetic moment, μB per atom: 0.1940
Energy relative to the lowest polymorph listed for this composition, kJ per mole of atoms: 0.0
Raw total energy, eV per atom: -5.572

Cell lengths 4.302, 4.302, 4.302 Å; angles 60.00, 60.00, 60.00 degrees
Each line ends with the local moment (μB).
Atoms (fractional coordinates):
1 Pd 0.500 0.500 0.500  0.00
2 Co 0.750 0.750 0.750  0.80
3 Ni 0.250 0.250 0.250  0.01
4 Sb 0.000 0.000 0.000  -0.02


## CoSiNiPd (PBE)

Data for a relaxed structure of CoSiNiPd.

Total magnetic moment, μB per atom: 0.2571
Energy relative to the lowest polymorph listed for this composition, kJ per mole of atoms: 0.0
Raw total energy, eV per atom: -6.059

Cell lengths 4.077, 4.077, 4.077 Å; angles 60.00, 60.00, 60.00 degrees
Each line ends with the local moment (μB).
Atoms (fractional coordinates):
1 Pd 0.250 0.250 0.250  0.03
2 Co 0.750 0.750 0.750  0.86
3 Ni 0.500 0.500 0.500  0.17
4 Si 0.000 0.000 0.000  -0.02


## CoSiNiPd (PBE)

Data for a relaxed structure of CoSiNiPd.

Total magnetic moment, μB per atom: 0.2128
Energy relative to the lowest polymorph listed for this composition, kJ per mole of atoms: 4.5
Raw total energy, eV per atom: -6.012

Cell lengths 4.091, 4.091, 4.091 Å; angles 60.00, 60.00, 60.00 degrees
Each line ends with the local moment (μB).
Atoms (fractional coordinates):
1 Pd 0.500 0.500 0.500  0.04
2 Co 0.750 0.750 0.750  0.82
3 Si 0.000 0.000 0.000  -0.02
4 Ni 0.250 0.250 0.250  0.04


## TlCoNiPd (PBE)

Data for a relaxed structure of TlCoNiPd.

Total magnetic moment, μB per atom: 0.4353
Energy relative to the lowest polymorph listed for this composition, kJ per mole of atoms: 0.0
Raw total energy, eV per atom: -4.812

Cell lengths 4.374, 4.374, 4.374 Å; angles 60.00, 60.00, 60.00 degrees
Each line ends with the local moment (μB).
Atoms (fractional coordinates):
1 Pd 0.500 0.500 0.500  0.11
2 Tl 0.000 0.000 0.000  -0.04
3 Ni 0.250 0.250 0.250  0.21
4 Co 0.750 0.750 0.750  1.52